Density functional theory data (GGA+U) for a relaxed PmCr2SbO8 crystal.

Its raw total energy is -85.20 eV per formula unit.

Cell: 4.7944 4.7944 6.8969 Å, 96.40 96.40 80.59°
Last column: nearest neighbours and their distance in Å.
Atoms (fractional coordinates):
Pm: 0.0000 0.0000 0.0000  6 O 2.33-2.42
Cr: 0.4413 0.4413 0.7705  4 O 1.80-1.87
Cr: 0.5587 0.5587 0.2295  4 O 1.80-1.87
Sb: 0.0000 0.0000 0.5000  6 O 1.94-2.06
O: 0.2086 0.7722 0.2741  1 Cr 1.86, 1 Sb 2.06
O: 0.2278 0.7914 0.7259  1 Cr 1.86, 1 Sb 2.06
O: 0.2686 0.2686 0.5419  1 Cr 1.87, 1 Sb 1.94
O: 0.3290 0.3290 0.9854  1 Cr 1.80
O: 0.6710 0.6710 0.0146  1 Cr 1.80
O: 0.7314 0.7314 0.4581  1 Cr 1.87, 1 Sb 1.94
O: 0.7722 0.2086 0.2741  1 Cr 1.86, 1 Sb 2.06
O: 0.7914 0.2278 0.7259  1 Cr 1.86, 1 Sb 2.06